A plane-wave DFT calculation with PBE was carried out for crystalline AcPrPO at its relaxed geometry.

abc: 4.567 4.567 9.584
angles: 90.00 90.00 90.00
Positions (direct):
Ac1 0.250 0.250 0.115
Ac2 0.750 0.750 0.885
Pr1 0.250 0.750 0.500
Pr2 0.750 0.250 0.500
P1 0.250 0.250 0.689
P2 0.750 0.750 0.311
O1 0.250 0.750 0.000
O2 0.750 0.250 0.000

Results
space group = P4/nmm
formation energy without anion corrections = -1.909 eV/atom
total moment = 0.00 μB/f.u.
density = 6.892 g/cm3